First-principles (GGA-PBE) data for a geometry-optimized CaTl2Sb structure, as listed in Alexandria via LeMat-Bulk.

The structure in POSCAR format:
```
CaTl2Sb
1.0
4.163 0.000 0.000
0.000 4.163 0.000
0.000 0.000 6.913
Sb Ca Tl
1 1 2
direct
0.500 0.500 0.744
0.000 0.000 0.522
0.000 0.000 0.995
0.500 0.500 0.240
```

Summary:
Energy above the lowest structure with this stoichiometry (eV per atom): 0.1011
Energy relative to the elements, uncorrected (meV/atom): -297



First-principles (GGA-PBE) data for a geometry-optimized CaTlSb2 structure, as listed in Alexandria via LeMat-Bulk.

The structure in POSCAR format:
```
CaTlSb2
1.0
-5.084 -1.976 0.664
-1.243 -2.939 4.474
-3.291 2.123 3.855
Ca Tl Sb
1 1 2
direct
0.500 0.500 0.500
0.750 0.750 0.750
0.000 0.000 0.000
0.250 0.250 0.250
```

Summary:
Energy above the lowest structure with this stoichiometry (eV per atom): 0.2015
Energy relative to the elements, uncorrected (meV/atom): -223



First-principles (GGA-PBE) data for a geometry-optimized Ca4Tl2Sb structure, as listed in Alexandria via LeMat-Bulk.

The structure in POSCAR format:
```
Ca4Tl2Sb
1.0
5.918 0.000 0.000
0.000 5.918 0.000
2.959 2.959 7.817
Ca Tl Sb
4 2 1
direct
0.500 0.000 0.000
0.194 0.194 0.612
0.000 0.500 0.000
0.806 0.806 0.388
0.606 0.606 0.787
0.394 0.394 0.213
0.000 0.000 0.000
```

Summary:
Energy relative to the elements, uncorrected (meV/atom): -278



First-principles (GGA-PBE) data for a geometry-optimized CaTl2Sb structure, as listed in Alexandria via LeMat-Bulk.

The structure in POSCAR format:
```
CaTl2Sb
1.0
-1.225 -1.463 4.334
-1.865 -3.940 -1.857
4.649 -2.433 0.493
Ca Tl Sb
1 2 1
direct
0.500 0.000 0.500
0.500 0.500 0.000
0.000 0.000 0.000
0.000 0.500 0.500
```

Summary:
Energy above the lowest structure with this stoichiometry (eV per atom): 0.0000
Energy relative to the elements, uncorrected (meV/atom): -398



First-principles (GGA-PBE) data for a geometry-optimized CaTm3Sb4 structure, as listed in Alexandria via LeMat-Bulk.

The structure in POSCAR format:
```
CaTm3Sb4
1.0
7.567 0.060 0.000
-2.596 7.153 0.000
0.000 0.000 8.778
Sb Ca Tm
8 2 6
direct
0.001 0.741 0.869
0.496 0.747 0.620
0.504 0.253 0.380
0.999 0.259 0.131
0.004 0.253 0.620
0.499 0.259 0.869
0.501 0.741 0.131
0.996 0.747 0.380
0.750 0.000 0.877
0.250 0.000 0.123
0.750 0.500 0.124
0.250 0.000 0.626
0.750 0.000 0.374
0.250 0.500 0.375
0.750 0.500 0.625
0.250 0.500 0.876
```

Summary:
Energy relative to the elements, uncorrected (meV/atom): -993



First-principles (GGA-PBE) data for a geometry-optimized CaTmSb structure, as listed in Alexandria via LeMat-Bulk.

The structure in POSCAR format:
```
CaTmSb
1.0
5.024 0.000 0.000
2.512 4.351 0.000
2.512 1.450 10.086
Sb Ca Tm
2 2 2
direct
0.415 0.415 0.755
0.585 0.585 0.245
0.202 0.202 0.394
0.798 0.798 0.606
0.941 0.941 0.176
0.059 0.059 0.824
```

Summary:
Energy relative to the elements, uncorrected (meV/atom): -305



First-principles (GGA-PBE) data for a geometry-optimized CaTm3Sb2 structure, as listed in Alexandria via LeMat-Bulk.

The structure in POSCAR format:
```
CaTm3Sb2
1.0
-0.508 -3.406 2.730
8.407 4.810 4.027
-9.193 2.560 1.483
Sb Tm Ca
4 6 2
direct
0.246 0.493 0.782
0.492 0.985 0.822
0.508 0.015 0.178
0.754 0.507 0.218
0.357 0.713 0.195
0.058 0.115 0.437
0.309 0.618 0.505
0.691 0.382 0.495
0.942 0.885 0.563
0.643 0.287 0.805
0.110 0.220 0.103
0.890 0.780 0.897
```

Summary:
Energy relative to the elements, uncorrected (meV/atom): -618



First-principles (GGA-PBE) data for a geometry-optimized CaYTm2Sb4 structure, as listed in Alexandria via LeMat-Bulk.

The structure in POSCAR format:
```
CaYTm2Sb4
1.0
4.358 0.000 0.000
0.000 7.643 -0.182
0.000 2.658 7.153
Sb Y Ca Tm
4 1 1 2
direct
0.000 0.760 0.743
0.500 0.756 0.251
0.500 0.244 0.749
0.000 0.240 0.257
0.000 0.500 0.500
0.500 0.500 0.000
0.000 0.000 0.000
0.500 0.000 0.500
```

Summary:
Energy relative to the elements, uncorrected (meV/atom): -1016



First-principles (GGA-PBE) data for a geometry-optimized Ca2TmZrSb4 structure, as listed in Alexandria via LeMat-Bulk.

The structure in POSCAR format:
```
Ca2TmZrSb4
1.0
4.277 0.000 0.000
0.000 7.467 0.150
0.000 -2.594 7.362
Ca Tm Zr Sb
2 1 1 4
direct
0.000 0.500 0.500
0.500 0.000 0.500
0.500 0.500 0.000
0.000 0.000 0.000
0.000 0.753 0.233
0.500 0.234 0.228
0.500 0.766 0.772
0.000 0.247 0.767
```

Summary:
Energy relative to the elements, uncorrected (meV/atom): -863



First-principles (GGA-PBE) data for a geometry-optimized Ca2USb3 structure, as listed in Alexandria via LeMat-Bulk.

The structure in POSCAR format:
```
Ca2USb3
1.0
-0.051 -5.980 -4.973
-2.558 -0.976 7.280
-5.831 4.125 -2.878
Sb U Ca
6 2 4
direct
0.760 0.745 0.234
0.412 0.094 0.234
0.906 0.588 0.766
0.255 0.240 0.766
0.604 0.937 0.767
0.063 0.396 0.233
0.001 0.999 0.000
0.666 0.334 0.000
0.333 0.667 0.000
0.172 0.828 0.500
0.833 0.167 0.500
0.494 0.506 0.500
```

Summary:
Energy relative to the elements, uncorrected (meV/atom): -672



First-principles (GGA-PBE) data for a geometry-optimized Ca3U5Sb12 structure, as listed in Alexandria via LeMat-Bulk.

The structure in POSCAR format:
```
Ca3U5Sb12
1.0
-9.426 -1.394 12.275
11.013 -10.943 0.657
6.642 14.047 0.139
Sb U Ca
48 20 12
direct
0.731 0.140 0.062
0.331 0.769 0.409
0.409 0.269 0.331
0.091 0.169 0.231
0.422 0.062 0.331
0.078 0.909 0.140
0.169 0.078 0.938
0.422 0.360 0.591
0.438 0.769 0.860
0.769 0.438 0.360
0.669 0.438 0.578
0.640 0.578 0.909
0.091 0.922 0.360
0.860 0.591 0.922
0.169 0.091 0.731
0.831 0.909 0.269
0.860 0.269 0.438
0.591 0.731 0.669
0.562 0.331 0.922
0.591 0.860 0.422
0.360 0.422 0.091
0.922 0.831 0.562
0.769 0.331 0.909
0.731 0.591 0.169
0.938 0.578 0.169
0.078 0.169 0.438
0.578 0.938 0.669
0.062 0.422 0.831
0.909 0.831 0.769
0.640 0.062 0.231
0.140 0.409 0.078
0.938 0.360 0.269
0.909 0.078 0.640
0.331 0.562 0.422
0.831 0.922 0.062
0.578 0.640 0.409
0.269 0.409 0.831
0.231 0.562 0.640
0.062 0.640 0.731
0.269 0.860 0.938
0.360 0.938 0.769
0.140 0.731 0.562
0.409 0.140 0.578
0.231 0.669 0.091
0.562 0.231 0.140
0.438 0.669 0.078
0.669 0.231 0.591
0.922 0.091 0.860
0.500 0.000 0.000
0.250 0.375 0.625
0.500 0.000 0.500
0.000 0.500 0.500
0.000 0.500 0.000
0.125 0.750 0.375
0.000 0.000 0.000
0.250 0.875 0.125
0.625 0.875 0.250
0.625 0.750 0.875
0.750 0.125 0.875
0.125 0.375 0.250
0.000 0.000 0.500
0.375 0.250 0.125
0.500 0.500 0.000
0.875 0.250 0.625
0.875 0.625 0.750
0.500 0.500 0.500
0.375 0.125 0.750
0.750 0.625 0.375
0.875 0.750 0.125
0.625 0.375 0.750
0.625 0.250 0.375
0.875 0.125 0.250
0.250 0.125 0.375
0.375 0.625 0.250
0.250 0.625 0.875
0.750 0.375 0.125
0.125 0.875 0.750
0.375 0.750 0.625
0.125 0.250 0.875
0.750 0.875 0.625
```

Summary:
Energy relative to the elements, uncorrected (meV/atom): 171



First-principles (GGA-PBE) data for a geometry-optimized Ca2YUSb4 structure, as listed in Alexandria via LeMat-Bulk.

The structure in POSCAR format:
```
Ca2YUSb4
1.0
-1.883 -3.915 -1.068
6.914 -2.872 -1.659
-1.581 -1.277 7.469
Ca Sb Y U
2 4 1 1
direct
0.000 0.500 0.500
0.500 0.000 0.500
0.500 0.761 0.767
0.500 0.239 0.233
0.000 0.752 0.235
0.000 0.248 0.765
0.500 0.500 0.000
0.000 0.000 0.000
```

Summary:
Energy relative to the elements, uncorrected (meV/atom): -790



| no. | uncorrected energy (eV/cell) | M_tot (μB per cell) |
| --- | --- | --- |
| 1 | -12.05 | 0.00 |
| 2 | -13.50 | 0.00 |
| 3 | -18.80 | 0.00 |
| 4 | -12.45 | 0.00 |
| 5 | -79.70 | 0.00 |
| 6 | -23.02 | 0.01 |
| 7 | -54.74 | 0.00 |
| 8 | -42.02 | 0.00 |
| 9 | -40.42 | 0.00 |
| 10 | -63.38 | 1.96 |
| 11 | -433.95 | 43.52 |
| 12 | -44.57 | 1.15 |